Entry 1:
! CsMg3Hg9 (PBE-GGA, relaxed); values from VASP
! M_tot = 0.00 Bohr magnetons per cell
! Space group = C2/m, No. 12
! Total DFT energy (no corrections) = -0.05661 Ry per atom
! N(E_F) = 3.92 states/eV per cell
! DFT formation energy = -1.66 eV/f.u.
! Mass density = 9.7 g cm⁻³
&SYSTEM
  ibrav = 0, nat = 13, ntyp = 3
/
ATOMIC_SPECIES
Cs 132.91 Cs.upf
Mg 24.30 Mg.upf
Hg 200.59 Hg.upf
CELL_PARAMETERS angstrom
3.106 -7.656 0.000
3.106 7.656 0.000
-2.865 0.000 7.270
ATOMIC_POSITIONS angstrom
Cs 0.000 0.000 0.000
Mg 1.553 3.828 0.000
Mg 1.553 -3.828 0.000
Mg 1.673 0.000 3.635
Hg -1.433 0.000 3.635
Hg 0.227 4.951 4.804
Hg 0.321 1.744 5.652
Hg 3.119 4.951 2.466
Hg 3.025 1.744 1.618
Hg 0.321 -1.744 5.652
Hg 0.227 -4.951 4.804
Hg 3.025 -1.744 1.618
Hg 3.119 -4.951 2.466

Entry 2:
! Cs4MgHg4 (PBE-GGA, relaxed); values from VASP
! M_tot = 0.00 Bohr magnetons per cell
! Space group = I-42m, No. 121
! Total DFT energy (no corrections) = -0.06053 Ry per atom
! N(E_F) = 7.66 states/eV per cell
! DFT formation energy = -1.20 eV/f.u.
! Mass density = 4.6 g cm⁻³
&SYSTEM
  ibrav = 0, nat = 9, ntyp = 3
/
ATOMIC_SPECIES
Cs 132.91 Cs.upf
Mg 24.30 Mg.upf
Hg 200.59 Hg.upf
CELL_PARAMETERS angstrom
-3.941 3.941 7.829
3.941 -3.941 7.829
3.941 3.941 -7.829
ATOMIC_POSITIONS angstrom
Cs 2.275 -2.275 5.613
Cs 1.666 1.666 2.215
Cs -2.275 2.275 5.613
Cs 2.275 2.275 10.044
Mg 0.000 0.000 7.829
Hg 2.218 2.218 -1.676
Hg 1.723 -1.723 9.505
Hg 1.723 1.723 6.152
Hg -1.723 1.723 9.505

Entry 3:
! Cs5MgHg4 (PBE-GGA, relaxed); values from VASP
! M_tot = 0.00 Bohr magnetons per cell
! Space group = C2/m, No. 12
! Total DFT energy (no corrections) = -0.06425 Ry per atom
! N(E_F) = 6.42 states/eV per cell
! DFT formation energy = -1.67 eV/f.u.
! Mass density = 4.5 g cm⁻³
&SYSTEM
  ibrav = 0, nat = 10, ntyp = 3
/
ATOMIC_SPECIES
Cs 132.91 Cs.upf
Mg 24.30 Mg.upf
Hg 200.59 Hg.upf
CELL_PARAMETERS angstrom
11.973 -2.564 0.000
11.973 2.564 0.000
-3.538 0.000 8.941
ATOMIC_POSITIONS angstrom
Cs 0.000 0.000 0.000
Cs 4.792 0.000 6.335
Cs 7.854 0.000 2.081
Cs 12.555 0.000 6.859
Cs 15.617 0.000 2.605
Mg -1.769 0.000 4.470
Hg 1.261 0.000 4.040
Hg 8.887 0.000 5.687
Hg 11.522 0.000 3.254
Hg 19.148 0.000 4.900

Entry 4:
! CsMgHg3 (PBE-GGA, relaxed); values from VASP
! M_tot = 0.00 Bohr magnetons per cell
! Space group = Pm-3m, No. 221
! Total DFT energy (no corrections) = -0.02288 Ry per atom
! N(E_F) = 4.98 states/eV per cell
! DFT formation energy = 1.80 eV/f.u.
! Mass density = 3.4 g cm⁻³
! Polymorph energy (0 for the lowest one) = 549 meV per atom
&SYSTEM
  ibrav = 0, nat = 5, ntyp = 3
/
ATOMIC_SPECIES
Cs 132.91 Cs.upf
Mg 24.30 Mg.upf
Hg 200.59 Hg.upf
CELL_PARAMETERS angstrom
7.171 0.000 0.000
0.000 7.171 0.000
0.000 0.000 7.171
ATOMIC_POSITIONS angstrom
Cs 0.000 0.000 0.000
Mg 3.586 3.586 3.586
Hg 0.000 0.000 3.586
Hg 0.000 3.586 0.000
Hg 3.586 0.000 0.000